Entry from Alexandria: CeHCl4 after structural relaxation (PBE).

Structure (POSCAR):
```
CeHCl4
1.0
7.089 -1.374 0.000
-2.535 6.869 0.000
-2.277 -2.748 8.115
Cl Ce H
8 2 2
direct
0.515 0.330 0.108
0.827 0.612 0.622
0.485 0.670 0.892
0.093 0.778 0.108
0.907 0.222 0.892
0.294 0.009 0.622
0.706 0.991 0.378
0.173 0.388 0.378
0.321 0.571 0.142
0.679 0.429 0.858
0.070 0.820 0.640
0.930 0.180 0.360
```

Values from the calculation:
E_tot = -52.33 eV/cell
DOS at the Fermi energy = 15.524 states/eV per cell
space-group type = No. 15
crystal system = monoclinic